Compound: LaCrO3
Source: the Alexandria database
Functional: GGA+U
Structure: relaxed

Geometry as POSCAR:
```
LaCrO3
1.0
3.733 0.000 0.000
-1.867 3.233 0.000
0.000 0.000 12.985
La Cr O
2 2 6
Cartesian
0.000 2.155 3.246
1.867 1.078 9.739
0.000 0.000 0.000
0.000 0.000 6.493
0.000 0.000 3.246
0.000 0.000 9.739
0.000 2.155 0.792
0.000 2.155 5.701
1.867 1.078 7.285
1.867 1.078 12.193
```

Output
Theoretical density = 5.1 g/cm3
Space group = P6_3/mmc (194)
Volume = 15.67 Å³ per atom
Uncorrected energy = -75.2 eV/cell
Total magnetization = 0.600 μB per atom